Density functional theory data (PBE) for a relaxed structure of K2AlMo.

Summary:
- Formation energy: 25.03 kcal/mol of atoms
- Uncorrected energy: -3.107 eV per atom
- Crystal system: orthorhombic
- Magnetization: 0.09 μB/atom

Unit cell a=3.543 b=4.512 c=12.235 alpha=90.00 beta=90.00 gamma=90.00
Space group Cmmm (No. 65)
Unique sites:
K 0.000 0.000 0.248 (multiplicity 4)
Al 0.000 0.500 0.500 (multiplicity 2)
Mo 0.000 0.500 0.000 (multiplicity 2)